1.
Entry from Alexandria: AgP2Pd5 after structural relaxation (PBE).

Properties
* total moment: 0.00 μB/atom
* volume: 256.3 Å³ per cell
* energy of formation from the pure elements: -0.365 eV/atom
* density of states at the Fermi level: 3.96 states/eV/f.u.
* calculated total energy: -5.3197 eV/atom
* space-group type: No. 71

abc: 3.6359 6.2678 11.2464
angles: 90.00 90.00 90.00
Last column: nearest neighbours and their distance in Å.
Positions (direct):
Ag: 0.0000 0.0000 0.0000  10 Pd 2.94-3.13
Ag: 0.5000 0.5000 0.5000  10 Pd 2.94-3.13
P: 0.0000 0.5000 0.2061  7 Pd 2.31-2.46
P: 0.0000 0.5000 0.7939  7 Pd 2.31-2.46
P: 0.5000 0.0000 0.2939  7 Pd 2.31-2.46
P: 0.5000 0.0000 0.7061  7 Pd 2.31-2.46
Pd: 0.0000 0.2420 0.3533  3 P 2.31-2.46
Pd: 0.0000 0.2420 0.6467  3 P 2.31-2.46
Pd: 0.0000 0.5000 0.0000  2 P 2.32
Pd: 0.0000 0.7580 0.3533  3 P 2.31-2.46
Pd: 0.0000 0.7580 0.6467  3 P 2.31-2.46
Pd: 0.5000 0.0000 0.5000  2 P 2.32
Pd: 0.5000 0.2580 0.1467  3 P 2.31-2.46
Pd: 0.5000 0.2580 0.8533  3 P 2.31-2.46
Pd: 0.5000 0.7420 0.1467  3 P 2.31-2.46
Pd: 0.5000 0.7420 0.8533  3 P 2.31-2.46


2.
Entry from Alexandria: AgP2Pd7 after structural relaxation (PBE).

Properties
* total moment: 0.00 μB/atom
* volume: 156.7 Å³ per cell
* energy of formation from the pure elements: -0.347 eV/atom
* density of states at the Fermi level: 4.04 states/eV/f.u.
* calculated total energy: -5.3487 eV/atom
* space-group type: No. 139

abc: 10.2454 10.2454 10.2454
angles: 157.55 157.55 31.96
Last column: nearest neighbours and their distance in Å.
Positions (direct):
Ag: 0.0000 0.0000 0.0000  12 Pd 2.82-2.89
P: 0.3284 0.3284 0.0000  8 Pd 2.37-2.52
P: 0.6716 0.6716 0.0000  8 Pd 2.37-2.52
Pd: 0.1062 0.6062 0.5000  2 P 2.37
Pd: 0.2500 0.7500 0.5000  4 P 2.52, 4 Pd 2.82
Pd: 0.3938 0.8938 0.5000  2 P 2.37
Pd: 0.5000 0.5000 0.0000  4 Ag 2.82, 8 Pd 2.89
Pd: 0.6062 0.1062 0.5000  2 P 2.37
Pd: 0.7500 0.2500 0.5000  4 P 2.52, 4 Pd 2.82
Pd: 0.8938 0.3938 0.5000  2 P 2.37


3.
Entry from Alexandria: AgP2Pd2 after structural relaxation (PBE).

Properties
* total moment: 0.00 μB/atom
* volume: 157.8 Å³ per cell
* energy of formation from the pure elements: -0.023 eV/atom
* density of states at the Fermi level: 2.41 states/eV/f.u.
* calculated total energy: -4.8348 eV/atom
* space-group type: No. 127

abc: 7.1838 7.1838 3.0569
angles: 90.00 90.00 90.00
Last column: nearest neighbours and their distance in Å.
Positions (direct):
Ag: 0.0000 0.0000 0.0000  4 P 2.72
Ag: 0.5000 0.5000 0.0000  4 P 2.72
P: 0.1554 0.3446 0.0000  6 Pd 2.54-2.64, 2 Ag 2.72
P: 0.3446 0.8446 0.0000  6 Pd 2.54-2.64, 2 Ag 2.72
P: 0.6554 0.1554 0.0000  6 Pd 2.54-2.64, 2 Ag 2.72
P: 0.8446 0.6554 0.0000  6 Pd 2.54-2.64, 2 Ag 2.72
Pd: 0.1447 0.6447 0.5000  6 P 2.54-2.64
Pd: 0.3553 0.1447 0.5000  6 P 2.54-2.64
Pd: 0.6447 0.8553 0.5000  6 P 2.54-2.64
Pd: 0.8553 0.3553 0.5000  6 P 2.54-2.64


4.
Entry from Alexandria: PmAgPPd after structural relaxation (PBE).

Properties
* total moment: 0.00 μB/atom
* volume: 313.5 Å³ per cell
* energy of formation from the pure elements: -0.493 eV/atom
* density of states at the Fermi level: 1.55 states/eV/f.u.
* calculated total energy: -5.0443 eV/atom
* space-group type: No. 216

abc: 6.7934 6.7934 6.7934
angles: 90.00 90.00 90.00
Last column: nearest neighbours and their distance in Å.
Positions (direct):
Pm: 0.0000 0.0000 0.0000  4 Pd 2.94, 4 P 2.94
Pm: 0.0000 0.5000 0.5000  4 Pd 2.94, 4 P 2.94
Pm: 0.5000 0.0000 0.5000  4 Pd 2.94, 4 P 2.94
Pm: 0.5000 0.5000 0.0000  4 Pd 2.94, 4 P 2.94
Ag: 0.0000 0.0000 0.5000  4 P 2.94, 4 Pd 2.94
Ag: 0.0000 0.5000 0.0000  4 P 2.94, 4 Pd 2.94
Ag: 0.5000 0.0000 0.0000  4 P 2.94, 4 Pd 2.94
Ag: 0.5000 0.5000 0.5000  4 P 2.94, 4 Pd 2.94
P: 0.2500 0.2500 0.7500  4 Pm 2.94, 4 Ag 2.94
P: 0.2500 0.7500 0.2500  4 Pm 2.94, 4 Ag 2.94
P: 0.7500 0.2500 0.2500  4 Pm 2.94, 4 Ag 2.94
P: 0.7500 0.7500 0.7500  4 Pm 2.94, 4 Ag 2.94
Pd: 0.2500 0.2500 0.2500  4 Pm 2.94, 4 Ag 2.94
Pd: 0.2500 0.7500 0.7500  4 Pm 2.94, 4 Ag 2.94
Pd: 0.7500 0.2500 0.7500  4 Pm 2.94, 4 Ag 2.94
Pd: 0.7500 0.7500 0.2500  4 Pm 2.94, 4 Ag 2.94


5.
Entry from Alexandria: ReAgP2Pd after structural relaxation (PBE).

Properties
* total moment: 0.67 μB/atom
* volume: 105.7 Å³ per cell
* energy of formation from the pure elements: 1.460 eV/atom
* density of states at the Fermi level: 3.91 states/eV/f.u.
* calculated total energy: -4.8025 eV/atom
* space-group type: No. 123

abc: 4.5087 4.5087 5.1973
angles: 90.00 90.00 90.00
Last column: nearest neighbours and their distance in Å.
Positions (direct):
Re: 0.0000 0.0000 0.0000  2 Pd 2.60
Ag: 0.5000 0.5000 0.0000  4 Re 3.19, 8 P 3.44
P: 0.0000 0.5000 0.5000  2 Pd 2.25
P: 0.5000 0.0000 0.5000  2 Pd 2.25
Pd: 0.0000 0.0000 0.5000  4 P 2.25


6.
Entry from Alexandria: AgPPdS2 after structural relaxation (PBE).

Properties
* total moment: 0.00 μB/atom
* volume: 110.7 Å³ per cell
* uncorrected formation energy: 1.2249 eV per atom
* density of states at the Fermi level: 4.37 states/eV/f.u.
* calculated total energy: -3.1169 eV/atom
* space-group type: No. 123

abc: 4.6812 4.6812 5.0537
angles: 90.00 90.00 90.00
Last column: nearest neighbours and their distance in Å.
Positions (direct):
Ag: 0.0000 0.0000 0.0000  4 S 2.34, 2 Pd 2.53
P: 0.5000 0.5000 0.5000  4 Pd 3.31, 8 S 3.44
Pd: 0.0000 0.0000 0.5000  2 Ag 2.53
S: 0.0000 0.5000 0.0000  2 Ag 2.34
S: 0.5000 0.0000 0.0000  2 Ag 2.34


7.
Entry from Alexandria: AgP2PdS after structural relaxation (PBE).

Properties
* total moment: 0.00 μB/atom
* volume: 108.6 Å³ per cell
* uncorrected formation energy: 1.2435 eV per atom
* density of states at the Fermi level: 4.23 states/eV/f.u.
* calculated total energy: -3.3548 eV/atom
* space-group type: No. 123

abc: 4.7546 4.7546 4.8025
angles: 90.00 90.00 90.00
Last column: nearest neighbours and their distance in Å.
Positions (direct):
Ag: 0.0000 0.0000 0.0000  4 P 2.38, 2 S 2.40
P: 0.0000 0.5000 0.0000  2 Ag 2.38
P: 0.5000 0.0000 0.0000  2 Ag 2.38
Pd: 0.5000 0.5000 0.5000  4 S 3.36, 8 P 3.38
S: 0.0000 0.0000 0.5000  2 Ag 2.40


8.
Entry from Alexandria: AgP2PdS after structural relaxation (PBE).

Properties
* total moment: 0.10 μB/atom
* volume: 106.4 Å³ per cell
* uncorrected formation energy: 0.7638 eV per atom
* density of states at the Fermi level: 2.81 states/eV/f.u.
* calculated total energy: -3.8344 eV/atom
* space-group type: No. 123

abc: 4.5804 4.5804 5.0723
angles: 90.00 90.00 90.00
Last column: nearest neighbours and their distance in Å.
Positions (direct):
Ag: 0.0000 0.0000 0.0000  4 S 3.24, 8 P 3.42
P: 0.0000 0.5000 0.5000  2 Pd 2.29
P: 0.5000 0.0000 0.5000  2 Pd 2.29
Pd: 0.5000 0.5000 0.5000  4 P 2.29, 2 S 2.54
S: 0.5000 0.5000 0.0000  2 Pd 2.54


9.
Entry from Alexandria: AgPPdS2 after structural relaxation (PBE).

Properties
* total moment: 0.27 μB/atom
* volume: 109.9 Å³ per cell
* uncorrected formation energy: 1.1596 eV per atom
* density of states at the Fermi level: 5.84 states/eV/f.u.
* calculated total energy: -3.1822 eV/atom
* space-group type: No. 123

abc: 4.8185 4.8185 4.7338
angles: 90.00 90.00 90.00
Last column: nearest neighbours and their distance in Å.
Positions (direct):
Ag: 0.0000 0.0000 0.0000  2 P 2.37, 4 S 2.41
P: 0.0000 0.0000 0.5000  2 Ag 2.37
Pd: 0.5000 0.5000 0.5000  8 S 3.38, 4 P 3.41
S: 0.0000 0.5000 0.0000  2 Ag 2.41
S: 0.5000 0.0000 0.0000  2 Ag 2.41


10.
Entry from Alexandria: Ag2PPdS4 after structural relaxation (PBE).

Properties
* total moment: 0.00 μB/atom
* volume: 338.0 Å³ per cell
* uncorrected formation energy: -0.0987 eV per atom
* density of states at the Fermi level: 7.59 states/eV/f.u.
* calculated total energy: -4.2006 eV/atom
* space-group type: No. 82

abc: 5.5723 5.5723 10.8844
angles: 90.00 90.00 90.00
Last column: nearest neighbours and their distance in Å.
Positions (direct):
Ag: 0.0000 0.0000 0.0000  4 S 2.55
Ag: 0.0000 0.5000 0.2500  4 S 2.58
Ag: 0.5000 0.0000 0.7500  4 S 2.58
Ag: 0.5000 0.5000 0.5000  4 S 2.55
P: 0.0000 0.5000 0.7500  4 S 2.09
P: 0.5000 0.0000 0.2500  4 S 2.09
Pd: 0.0000 0.0000 0.5000  4 S 2.41
Pd: 0.5000 0.5000 0.0000  4 S 2.41
S: 0.2025 0.7250 0.6360  1 P 2.09
S: 0.2250 0.2975 0.8640  1 P 2.09
S: 0.2750 0.2025 0.3640  1 P 2.09
S: 0.2975 0.7750 0.1360  1 P 2.09
S: 0.7025 0.2250 0.1360  1 P 2.09
S: 0.7250 0.7975 0.3640  1 P 2.09
S: 0.7750 0.7025 0.8640  1 P 2.09
S: 0.7975 0.2750 0.6360  1 P 2.09


11.
Entry from Alexandria: AgPPdS2 after structural relaxation (PBE).

Properties
* total moment: 0.00 μB/atom
* volume: 107.0 Å³ per cell
* uncorrected formation energy: 0.6681 eV per atom
* density of states at the Fermi level: 5.16 states/eV/f.u.
* calculated total energy: -3.6737 eV/atom
* space-group type: No. 123

abc: 4.9073 4.9073 4.4438
angles: 90.00 90.00 90.00
Last column: nearest neighbours and their distance in Å.
Positions (direct):
Ag: 0.0000 0.0000 0.0000  8 S 3.31, 4 P 3.47
P: 0.5000 0.5000 0.0000  2 Pd 2.22
Pd: 0.5000 0.5000 0.5000  2 P 2.22, 4 S 2.45
S: 0.0000 0.5000 0.5000  2 Pd 2.45
S: 0.5000 0.0000 0.5000  2 Pd 2.45


12.
Entry from Alexandria: Ag2PPdSe4 after structural relaxation (PBE).

Properties
* total moment: 0.00 μB/atom
* volume: 397.5 Å³ per cell
* uncorrected formation energy: -0.0516 eV per atom
* density of states at the Fermi level: 7.03 states/eV/f.u.
* calculated total energy: -3.8321 eV/atom
* space-group type: No. 82

abc: 5.8590 5.8590 11.5804
angles: 90.00 90.00 90.00
Last column: nearest neighbours and their distance in Å.
Positions (direct):
Ag: 0.0000 0.0000 0.0000  4 Se 2.65
Ag: 0.0000 0.5000 0.2500  4 Se 2.68
Ag: 0.5000 0.0000 0.7500  4 Se 2.68
Ag: 0.5000 0.5000 0.5000  4 Se 2.65
P: 0.0000 0.5000 0.7500  4 Se 2.31
P: 0.5000 0.0000 0.2500  4 Se 2.31
Pd: 0.0000 0.0000 0.5000  4 Se 2.50
Pd: 0.5000 0.5000 0.0000  4 Se 2.50
Se: 0.2120 0.2647 0.6307  1 P 2.31, 1 Pd 2.50
Se: 0.2353 0.7120 0.8693  1 P 2.31, 1 Pd 2.50
Se: 0.2647 0.7880 0.3693  1 P 2.31, 1 Pd 2.50
Se: 0.2880 0.2353 0.1307  1 P 2.31, 1 Pd 2.50
Se: 0.7120 0.7647 0.1307  1 P 2.31, 1 Pd 2.50
Se: 0.7353 0.2120 0.3693  1 P 2.31, 1 Pd 2.50
Se: 0.7647 0.2880 0.8693  1 P 2.31, 1 Pd 2.50
Se: 0.7880 0.7353 0.6307  1 P 2.31, 1 Pd 2.50


13.
Entry from Alexandria: SiAg2PPd after structural relaxation (PBE).

Properties
* total moment: 0.00 μB/atom
* volume: 102.2 Å³ per cell
* uncorrected formation energy: 0.6761 eV per atom
* density of states at the Fermi level: 5.43 states/eV/f.u.
* calculated total energy: -3.6696 eV/atom
* space-group type: No. 123

abc: 4.7516 4.7516 4.5255
angles: 90.00 90.00 90.00
Last column: nearest neighbours and their distance in Å.
Positions (direct):
Si: 0.0000 0.0000 0.0000  2 Pd 2.26, 4 Ag 2.38
Ag: 0.0000 0.5000 0.0000  2 Si 2.38
Ag: 0.5000 0.0000 0.0000  2 Si 2.38
P: 0.5000 0.5000 0.5000  8 Ag 3.28, 4 Pd 3.36
Pd: 0.0000 0.0000 0.5000  2 Si 2.26